No. 1
First-principles (PBE) data for a relaxed structure of BeSe, as listed in Alexandria via LeMat-Bulk.

VASP energy = -4.081 eV per atom
E above lowest polymorph = 0.329 eV per atom
crystal system = monoclinic

a = 14.6236 Å, b = 3.6688 Å, c = 4.6541 Å
α = 90.00°, β = 97.51°, γ = 90.00°
Closest atoms and distances in Å follow each position.
Space group C2/m (No. 12)
One atom of each set of equivalent atoms:
Be 0.2066 0.0000 0.4744 (multiplicity 4)  3 Se 2.15-2.19, 2 Be 2.23
Se 0.1493 0.5000 0.6096 (multiplicity 4)  3 Be 2.15-2.19

No. 2
First-principles (PBE) data for a relaxed structure of BeSe, as listed in Alexandria via LeMat-Bulk.

VASP energy = -4.272 eV per atom
E above lowest polymorph = 0.138 eV per atom
crystal system = tetragonal

a = 9.4709 Å, b = 9.4709 Å, c = 3.6535 Å
α = 90.00°, β = 90.00°, γ = 90.00°
Closest atoms and distances in Å follow each position.
Space group I4/m (No. 87)
One atom of each set of equivalent atoms:
Be 0.1332 0.7059 0.0000 (multiplicity 8)  4 Se 2.22-2.29
Se 0.1013 0.2793 0.0000 (multiplicity 8)  4 Be 2.22-2.29

No. 3
First-principles (PBE) data for a relaxed structure of BeSe, as listed in Alexandria via LeMat-Bulk.

VASP energy = -2.983 eV per atom
E above lowest polymorph = 1.427 eV per atom
crystal system = orthorhombic

a = 4.7619 Å, b = 3.9818 Å, c = 3.5971 Å
α = 90.00°, β = 90.00°, γ = 90.00°
Closest atoms and distances in Å follow each position.
Space group Amm2 (No. 38)
One atom of each set of equivalent atoms:
Be 0.0000 0.0000 0.0000 (multiplicity 2)  2 Se 2.38
Se 0.5000 0.0000 0.9987 (multiplicity 2)  2 Be 2.38

No. 4
First-principles (PBE) data for a relaxed structure of BeSe2, as listed in Alexandria via LeMat-Bulk.

VASP energy = -3.244 eV per atom
E above lowest polymorph = 0.691 eV per atom
crystal system = tetragonal

a = 3.2133 Å, b = 3.2133 Å, c = 11.0519 Å
α = 90.00°, β = 90.00°, γ = 90.00°
Closest atoms and distances in Å follow each position.
Space group I4/mmm (No. 139)
One atom of each set of equivalent atoms:
Be 0.0000 0.0000 0.0000 (multiplicity 2)  8 Se 2.61
Se 0.0000 0.0000 0.3842 (multiplicity 4)  1 Se 2.56, 4 Be 2.61

No. 5
First-principles (PBE) data for a relaxed structure of Be3Se, as listed in Alexandria via LeMat-Bulk.

VASP energy = -3.108 eV per atom
E above lowest polymorph = 0.506 eV per atom
crystal system = tetragonal

a = 3.2317 Å, b = 3.2317 Å, c = 9.7201 Å
α = 90.00°, β = 90.00°, γ = 90.00°
Closest atoms and distances in Å follow each position.
Space group I4/mmm (No. 139)
One atom of each set of equivalent atoms:
Be 0.0000 0.0000 0.0000 (multiplicity 2)  4 Se 2.29
Be 0.0000 0.5000 0.2500 (multiplicity 4)  4 Be 2.29
Se 0.0000 0.0000 0.5000 (multiplicity 2)  4 Be 2.29

No. 6
First-principles (PBE) data for a relaxed structure of BeSe2, as listed in Alexandria via LeMat-Bulk.

VASP energy = -3.656 eV per atom
E above lowest polymorph = 0.278 eV per atom
crystal system = orthorhombic

a = 3.5964 Å, b = 11.2690 Å, c = 5.1924 Å
α = 90.00°, β = 90.00°, γ = 90.00°
Closest atoms and distances in Å follow each position.
Space group Cmcm (No. 63)
One atom of each set of equivalent atoms:
Be 0.0000 0.1745 0.2500 (multiplicity 4)  6 Se 2.35-2.60
Se 0.0000 0.1912 0.7500 (multiplicity 4)  4 Be 2.35-2.60
Se 0.0000 0.4679 0.7500 (multiplicity 4)  2 Be 2.41, 2 Se 2.69

No. 7
First-principles (PBE) data for a relaxed structure of Be3Se5, as listed in Alexandria via LeMat-Bulk.

VASP energy = -3.897 eV per atom
E above lowest polymorph = 0.000 eV per atom
crystal system = monoclinic

a = 7.2071 Å, b = 16.8369 Å, c = 5.9117 Å
α = 90.00°, β = 105.19°, γ = 90.00°
Closest atoms and distances in Å follow each position.
Space group Cm (No. 8)
One atom of each set of equivalent atoms:
Be 0.0000 0.0000 0.0000 (multiplicity 2)  4 Se 2.22-2.33
Be 0.0354 0.4073 0.1296 (multiplicity 4)  4 Se 2.27-2.39
Be 0.3523 0.2262 0.5326 (multiplicity 4)  4 Se 2.25-2.32
Be 0.3860 0.0000 0.5758 (multiplicity 2)  3 Se 2.10-2.11
Se 0.0655 0.2803 0.3153 (multiplicity 4)  3 Be 2.25-2.39
Se 0.2721 0.5000 0.1899 (multiplicity 2)  3 Be 2.22-2.27
Se 0.3228 0.0000 0.2076 (multiplicity 2)  4 Be 2.10-2.33
Se 0.3564 0.2993 0.8555 (multiplicity 4)  1 Be 2.26, 1 Se 2.29
Se 0.3913 0.1110 0.7426 (multiplicity 4)  3 Be 2.11-2.28
Se 0.4814 0.4095 0.7213 (multiplicity 4)  1 Be 2.22, 1 Se 2.29

No. 8
First-principles (PBE) data for a relaxed structure of Be3Se, as listed in Alexandria via LeMat-Bulk.

VASP energy = -3.456 eV per atom
E above lowest polymorph = 0.158 eV per atom
crystal system = orthorhombic

a = 3.7621 Å, b = 6.9464 Å, c = 4.0279 Å
α = 90.00°, β = 90.00°, γ = 90.00°
Closest atoms and distances in Å follow each position.
Space group Cmmm (No. 65)
One atom of each set of equivalent atoms:
Be 0.0000 0.0000 0.0000 (multiplicity 2)  6 Be 2.24-2.25
Be 0.0000 0.3227 0.0000 (multiplicity 4)  5 Be 2.14-2.25, 2 Se 2.36
Se 0.0000 0.5000 0.5000 (multiplicity 2)  4 Be 2.36

Short version: ΔE_f (raw) = -0.4759 -0.6663 0.6225 0.3210 0.5582 -0.0912 -0.3221 0.2100 eV per atom, in the order given.